SrDyTe: relaxed, PBE.

Cell: 5.2636 5.2636 5.2636 Å, 60.00 60.00 60.00°
Last column: nearest neighbours and their distance in Å.
Fractional positions:
Sr 0.0000 0.0000 0.0000  4 Te 3.22
Dy 0.5000 0.5000 0.5000  4 Te 3.22
Te 0.7500 0.7500 0.7500  4 Dy 3.22, 4 Sr 3.22

Values from the calculation:
The calculation puts the total magnetization at 0.03 μB per cell. The raw total energy is -3.616 eV/atom. Its space group is F-43m.